(1)
Computed, not measured: crystalline Sc2TiTlC at its relaxed geometry at the PBE level of DFT.

Structure (POSCAR):
```
Sc2TiTlC
1.0
-2.3213 3.6979 1.2162
-3.6182 -1.5272 -2.2624
-1.3644 -2.0234 3.5479
Sc Tl C Ti
2 1 1 1
direct
0.0000 0.5000 0.0000
0.5000 0.0000 0.0000
0.5000 0.5000 0.5000
0.0000 0.0000 0.0000
0.0000 0.0000 0.5000
```

Output
DFT formation energy: -0.535 eV per atom

***

(2)
Computed, not measured: crystalline CoMoAsBr2 at its relaxed geometry at the PBE level of DFT.

Structure (POSCAR):
```
CoMoAsBr2
1.0
-1.1150 -1.6306 4.8553
-4.0203 -2.8000 -1.8636
2.9762 -3.8644 -0.6143
Mo Co As Br
1 1 1 2
direct
0.0000 0.0000 0.0000
0.5000 0.5000 0.5000
0.0000 0.0000 0.5000
0.0000 0.5000 0.0000
0.5000 0.0000 0.0000
```

Output
ΔE_f (raw): 88.0 kJ/mol of atoms

***

(3)
Computed, not measured: crystalline Ca4InBi at its relaxed geometry at the PBE level of DFT.

Structure (POSCAR):
```
Ca4InBi
1.0
-0.2586 6.1565 -4.5169
-3.5153 -4.1081 -5.3981
-4.8983 0.8732 7.9357
Ca In Bi
8 2 2
direct
0.3689 0.8683 0.7373
0.6316 0.6317 0.2627
0.6311 0.1317 0.2627
0.3684 0.3683 0.7373
0.8690 0.8689 0.7373
0.1316 0.6310 0.2627
0.1310 0.1311 0.2627
0.8684 0.3690 0.7373
0.5000 0.0000 0.5000
0.0000 0.5000 0.5000
0.7500 0.7500 0.0000
0.2500 0.2500 0.0000
```

Output
DFT formation energy: -0.520 eV per atom

***

(4)
Computed, not measured: crystalline Pm5Pr3Er4 at its relaxed geometry at the PBE level of DFT.

Structure (POSCAR):
```
Pm5Pr3Er4
1.0
-4.3054 -3.4389 1.9387
2.6512 -9.1224 -1.4937
-1.4589 2.1094 9.3017
Pm Pr Er
5 3 4
direct
0.7245 0.9318 0.6191
0.5000 0.5000 0.5000
0.3210 0.2853 0.0726
0.6790 0.7147 0.9274
0.2755 0.0682 0.3809
0.5276 0.6580 0.2867
0.0000 0.5000 0.5000
0.4724 0.3419 0.7133
0.9450 0.2561 0.8540
0.1641 0.8667 0.8051
0.8359 0.1333 0.1949
0.0550 0.7439 0.1460
```

Output
DFT formation energy: 0.248 eV per atom

***

(5)
Computed, not measured: crystalline RbB2C at its relaxed geometry at the PBE level of DFT.

Structure (POSCAR):
```
RbB2C
1.0
-2.0602 4.7536 0.9992
-0.3949 -1.2456 5.1119
2.1994 3.1139 3.6517
C B Rb
2 4 2
direct
0.5000 0.5000 0.0000
0.2500 0.7500 0.5000
0.3750 0.1250 0.2500
0.3750 0.6250 0.2500
0.3750 0.6250 0.7500
0.8750 0.6250 0.7500
0.0000 0.0000 0.0000
0.7500 0.2500 0.5000
```

Output
DFT formation energy: 1.171 eV per atom

***

(6)
Computed, not measured: crystalline ScH2 at its relaxed geometry at the PBE level of DFT.

Structure (POSCAR):
```
ScH2
1.0
3.3235 0.0000 0.0000
-1.6618 2.8783 0.0000
0.0000 0.0000 16.5037
Sc H
6 12
direct
0.0000 0.0000 0.9771
0.3333 0.6667 0.6438
0.6667 0.3333 0.3104
0.0000 0.0000 0.4739
0.3333 0.6667 0.1406
0.6667 0.3333 0.8072
0.0000 0.0000 0.7149
0.3333 0.6667 0.3815
0.6667 0.3333 0.0482
0.0000 0.0000 0.5949
0.3333 0.6667 0.2616
0.6667 0.3333 0.9282
0.0000 0.0000 0.1054
0.3333 0.6667 0.7721
0.6667 0.3333 0.4387
0.0000 0.0000 0.8516
0.3333 0.6667 0.5183
0.6667 0.3333 0.1849
```

Output
DFT total energy: -4.89 eV per atom

***

(7)
Computed, not measured: crystalline NaZn5Ag2 at its relaxed geometry at the PBE level of DFT.

Structure (POSCAR):
```
NaZn5Ag2
1.0
4.1174 0.0000 0.0000
2.0587 6.1298 0.0468
2.0587 1.1721 6.0168
Na Zn Ag
1 5 2
direct
0.0000 0.0000 0.0000
0.0000 0.5000 0.5000
0.6441 0.5339 0.1778
0.3559 0.4661 0.8222
0.3559 0.8222 0.4661
0.6441 0.1778 0.5339
0.7272 0.7728 0.7728
0.2728 0.2272 0.2272
```

Output
DFT formation energy: 0.039 eV per atom

***

(8)
Computed, not measured: crystalline La3SiBr at its relaxed geometry at the PBE level of DFT.

Structure (POSCAR):
```
La3SiBr
1.0
5.7565 0.0000 0.0000
0.0000 5.7565 0.0000
0.0000 0.0000 5.7565
Si Br La
1 1 3
direct
0.0000 0.0000 0.0000
0.5000 0.5000 0.5000
0.0000 0.5000 0.0000
0.0000 0.0000 0.5000
0.5000 0.0000 0.0000
```

Output
ΔE_f (raw): -26.7 kJ/mol of atoms

***

(9)
Computed, not measured: crystalline Ac6PuO12 at its relaxed geometry at the PBE level of DFT.

Structure (POSCAR):
```
Ac6PuO12
1.0
-0.9336 5.6035 4.3191
-6.7758 -0.9136 -2.0444
0.3214 -5.1259 4.9546
Ac Pu O
6 1 12
direct
0.6944 0.8563 0.3952
0.6048 0.3056 0.1437
0.1437 0.6048 0.3056
0.3056 0.1437 0.6048
0.3952 0.6944 0.8563
0.8563 0.3952 0.6944
0.0000 0.0000 0.0000
0.8227 0.5579 0.4058
0.4058 0.8227 0.5579
0.5579 0.4058 0.8227
0.1773 0.4421 0.5942
0.5942 0.1773 0.4421
0.4421 0.5942 0.1773
0.0650 0.9615 0.2883
0.0385 0.7117 0.9350
0.7117 0.9350 0.0385
0.9350 0.0385 0.7117
0.9615 0.2883 0.0650
0.2883 0.0650 0.9615
```

Output
ΔE_f (raw): -316.1 kJ/mol of atoms

***

(10)
Computed, not measured: crystalline SmTm2Sn at its relaxed geometry at the PBE level of DFT.

Structure (POSCAR):
```
SmTm2Sn
1.0
4.7848 0.0000 0.0000
0.0000 4.8104 0.0000
0.0000 0.0000 4.8104
Tm Sn Sm
2 1 1
direct
0.0000 0.0000 0.5000
0.0000 0.5000 0.0000
0.5000 0.0000 0.0000
0.5000 0.5000 0.5000
```

Output
DFT formation energy: -0.406 eV per atom

***

(11)
Computed, not measured: crystalline Sc2Hg2Rh at its relaxed geometry at the PBE level of DFT.

Structure (POSCAR):
```
Sc2Hg2Rh
1.0
-7.0383 -1.9578 -1.1782
-0.6868 -1.8266 7.1380
-1.1096 3.5125 0.7921
Sc Rh Hg
4 2 4
direct
0.1713 0.6713 0.5000
0.6713 0.8287 0.5000
0.8287 0.3287 0.5000
0.3287 0.1713 0.5000
0.0000 0.0000 0.0000
0.5000 0.5000 0.0000
0.3640 0.8640 0.0000
0.8640 0.6360 0.0000
0.6360 0.1360 0.0000
0.1360 0.3640 0.0000
```

Output
DFT formation energy: -0.253 eV per atom

***

(12)
Computed, not measured: crystalline Li2CePrSi2 at its relaxed geometry at the PBE level of DFT.

Structure (POSCAR):
```
Li2CePrSi2
1.0
-1.8375 1.0510 -3.9447
-0.6969 -4.0450 1.7872
-6.0266 2.5826 3.4953
Li Ce Pr Si
2 1 1 2
direct
0.3333 0.6667 0.7359
0.6667 0.3333 0.2641
0.0000 0.0000 0.5000
0.0000 0.0000 0.0000
0.3333 0.6667 0.2640
0.6667 0.3333 0.7360
```

Output
ΔE_f (raw): -45.9 kJ/mol of atoms

***

(13)
Computed, not measured: crystalline NaPdAu2F6 at its relaxed geometry at the PBE level of DFT.

Structure (POSCAR):
```
NaPdAu2F6
1.0
-3.8618 1.8377 -1.5431
-2.3720 -5.9342 -1.1308
-5.4345 0.3749 9.4324
Na Pd Au F
2 2 4 12
direct
0.5000 0.0000 0.0000
0.0000 0.5000 0.5000
0.5000 0.0000 0.5000
0.0000 0.5000 0.0000
0.9137 0.9167 0.2968
0.4137 0.5833 0.7968
0.0863 0.0833 0.7032
0.5863 0.4167 0.2032
0.1281 0.7558 0.0753
0.6281 0.7442 0.5753
0.8719 0.2442 0.9247
0.3719 0.2558 0.4247
0.2101 0.8262 0.4143
0.7101 0.6738 0.9143
0.7899 0.1738 0.5857
0.2899 0.3262 0.0857
0.9041 0.4899 0.3060
0.4041 0.0101 0.8060
0.0959 0.5101 0.6940
0.5959 0.9899 0.1940
```

Output
ΔE_f (raw): -123.3 kJ/mol of atoms

***

(14)
Computed, not measured: crystalline Ce4AlOs4 at its relaxed geometry at the PBE level of DFT.

Structure (POSCAR):
```
Ce4AlOs4
1.0
5.3790 0.0000 0.0000
2.6895 6.2148 0.0000
2.6895 0.0000 6.2148
Ce Al Os
4 1 4
direct
0.8042 0.6064 0.7851
0.1958 0.3936 0.2149
0.5894 0.2149 0.6064
0.4106 0.7851 0.3936
0.0000 0.0000 0.0000
0.7345 0.3576 0.1735
0.2655 0.6424 0.8265
0.9080 0.8265 0.3576
0.0920 0.1735 0.6424
```

Output
DFT formation energy: -0.010 eV per atom

***

(15)
Computed, not measured: crystalline BeNbRh at its relaxed geometry at the PBE level of DFT.

Structure (POSCAR):
```
BeNbRh
1.0
-1.1184 2.3813 -1.2095
-2.1635 -0.0389 1.9240
5.2130 5.4817 5.9724
Be Nb Rh
2 2 2
direct
0.0000 0.5000 0.9364
0.5000 0.0000 0.0636
0.0000 0.5000 0.6159
0.5000 0.0000 0.3841
0.0000 0.5000 0.1843
0.5000 0.0000 0.8157
```

Output
DFT formation energy: -0.406 eV per atom

***

(16)
Computed, not measured: crystalline ThSb2Pd7 at its relaxed geometry at the PBE level of DFT.

Structure (POSCAR):
```
ThSb2Pd7
1.0
4.2464 0.0000 -0.8171
-0.1572 4.2435 -0.8171
-0.1069 -0.1109 10.8875
Th Sb Pd
1 2 7
direct
0.0000 0.0000 0.0000
0.6745 0.6745 0.3490
0.3255 0.3255 0.6510
0.0968 0.5968 0.1937
0.4032 0.9032 0.8063
0.5968 0.0968 0.1937
0.5000 0.5000 0.0000
0.7500 0.2500 0.5000
0.9032 0.4032 0.8063
0.2500 0.7500 0.5000
```

Output
ΔE_f (raw): -57.8 kJ/mol of atoms

***

(17)
Computed, not measured: crystalline Pr5ScPb4 at its relaxed geometry at the PBE level of DFT.

Structure (POSCAR):
```
Pr5ScPb4
1.0
-1.1783 4.7692 2.3286
-5.6222 0.8709 -4.6286
0.9532 -7.1852 8.8519
Pr Sc Pb
5 1 4
direct
0.8334 0.6706 0.6667
0.8338 0.1680 0.6675
0.1662 0.8320 0.3325
0.5000 0.5000 0.0000
0.1666 0.3294 0.3333
0.5000 0.0000 0.0000
0.3289 0.9035 0.6578
0.9930 0.7492 0.9861
0.6711 0.0965 0.3422
0.0070 0.2508 0.0139
```

Output
DFT formation energy: -0.346 eV per atom

***

(18)
Computed, not measured: crystalline EuYIrPd at its relaxed geometry at the PBE level of DFT.

Structure (POSCAR):
```
EuYIrPd
1.0
-0.1108 4.7719 1.3616
-1.4895 3.4670 -3.2247
-4.3530 2.2932 0.6561
Eu Y Ir Pd
1 1 1 1
direct
0.2500 0.2500 0.2500
0.7500 0.7500 0.7500
0.0000 0.0000 0.0000
0.5000 0.5000 0.5000
```

Output
DFT formation energy: -0.652 eV per atom

***

(19)
Computed, not measured: crystalline SiP3 at its relaxed geometry at the PBE level of DFT.

Structure (POSCAR):
```
SiP3
1.0
-1.3193 -3.9401 -2.1571
4.0267 0.2377 -2.8970
2.8319 -2.9698 3.6925
Si P
2 6
direct
0.0000 0.0000 0.3953
0.5000 0.5000 0.6047
0.0000 0.5000 0.4128
0.5000 0.0000 0.5872
0.2331 0.0000 0.9940
0.7669 0.0000 0.9940
0.7331 0.5000 0.0060
0.2669 0.5000 0.0060
```

Output
ΔE_f (raw): 27.5 kJ/mol of atoms

***

(20)
Computed, not measured: crystalline LiZnS3 at its relaxed geometry at the PBE level of DFT.

Structure (POSCAR):
```
LiZnS3
1.0
-1.9695 4.2511 -0.4210
-2.6679 -0.8619 3.7772
3.3364 1.8203 2.7719
Zn S Li
1 3 1
direct
0.0000 0.0000 0.0000
0.0000 0.5000 0.0000
0.0000 0.0000 0.5000
0.5000 0.0000 0.0000
0.5000 0.5000 0.5000
```

Output
ΔE_f (raw): 13.4 kJ/mol of atoms

***

Computed values of V (unit: Å³/cell) for the preceding records, in sequence: 88.5; 135.1; 446.5; 414.1; 104.0; 157.9; 151.6; 190.8; 349.7; 110.7; 206.3; 129.0; 318.1; 207.8; 80.8; 195.4; 338.5; 86.5; 128.3; 104.1.